(1)
# Lu4CdSnN2

Crystalline Lu4CdSnN2 at its relaxed geometry (GGA-PBE, OQMD).

Structure (POSCAR):
```
Lu4CdSnN2
1.0
3.420 0.000 0.000
-1.710 2.962 0.000
0.000 0.000 15.194
Lu Cd Sn N
4 1 1 2
Direct
0.000 0.000 0.164
0.000 0.000 0.836
0.667 0.333 0.334
0.667 0.333 0.666
0.000 0.000 0.500
0.667 0.333 0.000
0.333 0.667 0.246
0.333 0.667 0.754
```

Properties
Symmetry = No. 187

***

(2)
# Lu4Ta2Cd3N3

Crystalline Lu4Ta2Cd3N3 at its relaxed geometry (GGA-PBE, OQMD).

Structure (POSCAR):
```
Lu4Ta2Cd3N3
1.0
4.966 -2.887 0.000
4.966 2.887 0.000
-3.391 0.000 14.792
Lu Ta Cd N
8 4 6 6
Direct
0.036 0.192 0.090
0.130 0.305 0.410
0.192 0.036 0.590
0.305 0.130 0.910
0.695 0.870 0.090
0.808 0.964 0.410
0.870 0.695 0.590
0.964 0.808 0.910
0.355 0.524 0.070
0.476 0.645 0.430
0.524 0.355 0.570
0.645 0.476 0.930
0.126 0.874 0.250
0.293 0.417 0.752
0.417 0.293 0.252
0.583 0.707 0.748
0.707 0.583 0.248
0.874 0.126 0.750
0.000 0.500 0.000
0.171 0.665 0.500
0.335 0.829 0.000
0.500 0.000 0.500
0.665 0.171 0.000
0.829 0.335 0.500
```

Properties
Symmetry = No. 15

***

(3)
# Lu2Ta4Cd3N3

Crystalline Lu2Ta4Cd3N3 at its relaxed geometry (GGA-PBE, OQMD).

Structure (POSCAR):
```
Lu2Ta4Cd3N3
1.0
4.905 -2.845 0.000
4.905 2.845 0.000
-3.296 0.000 14.088
Lu Ta Cd N
4 8 6 6
Direct
0.036 0.877 0.606
0.123 0.964 0.894
0.877 0.036 0.106
0.964 0.123 0.394
0.191 0.355 0.072
0.307 0.478 0.429
0.355 0.191 0.572
0.478 0.307 0.929
0.522 0.693 0.071
0.645 0.809 0.428
0.693 0.522 0.571
0.809 0.645 0.928
0.083 0.376 0.750
0.376 0.083 0.250
0.459 0.541 0.250
0.541 0.459 0.750
0.624 0.917 0.750
0.917 0.624 0.250
0.000 0.500 0.500
0.158 0.684 0.000
0.316 0.842 0.500
0.500 0.000 0.000
0.684 0.158 0.500
0.842 0.316 0.000
```

Properties
Symmetry = No. 15

***

(4)
# Lu4TlCdN2

Crystalline Lu4TlCdN2 at its relaxed geometry (GGA-PBE, OQMD).

Structure (POSCAR):
```
Lu4TlCdN2
1.0
3.423 0.000 0.000
-1.712 2.965 0.000
0.000 0.000 15.365
Lu Tl Cd N
4 1 1 2
Direct
0.000 0.000 0.164
0.000 0.000 0.836
0.333 0.667 0.333
0.333 0.667 0.667
0.000 0.000 0.500
0.333 0.667 0.000
0.667 0.333 0.251
0.667 0.333 0.749
```

Properties
Symmetry = No. 187

***

(5)
# Lu4Cd3W2N3

Crystalline Lu4Cd3W2N3 at its relaxed geometry (GGA-PBE, OQMD).

Structure (POSCAR):
```
Lu4Cd3W2N3
1.0
4.952 -2.888 0.000
4.952 2.888 0.000
-3.310 0.000 14.384
Lu Cd W N
8 6 4 6
Direct
0.035 0.194 0.092
0.130 0.304 0.408
0.194 0.035 0.592
0.304 0.130 0.908
0.696 0.870 0.092
0.806 0.965 0.408
0.870 0.696 0.592
0.965 0.806 0.908
0.130 0.870 0.250
0.299 0.416 0.751
0.416 0.299 0.251
0.584 0.701 0.749
0.701 0.584 0.249
0.870 0.130 0.750
0.355 0.521 0.065
0.479 0.645 0.435
0.521 0.355 0.565
0.645 0.479 0.935
0.000 0.500 0.000
0.164 0.669 0.500
0.331 0.836 0.000
0.500 0.000 0.500
0.669 0.164 0.000
0.836 0.331 0.500
```

Properties
Symmetry = No. 15

***

(6)
# Lu4ZnCdN2

Crystalline Lu4ZnCdN2 at its relaxed geometry (GGA-PBE, OQMD).

Structure (POSCAR):
```
Lu4ZnCdN2
1.0
3.386 0.000 0.000
-1.693 2.933 0.000
0.000 0.000 15.005
Lu Zn Cd N
4 1 1 2
Direct
0.000 0.000 0.153
0.000 0.000 0.847
0.333 0.667 0.329
0.333 0.667 0.671
0.333 0.667 0.000
0.000 0.000 0.500
0.667 0.333 0.244
0.667 0.333 0.756
```

Properties
Symmetry = No. 187

***

(7)
# Lu2Zr4Cd3N3

Crystalline Lu2Zr4Cd3N3 at its relaxed geometry (GGA-PBE, OQMD).

Structure (POSCAR):
```
Lu2Zr4Cd3N3
1.0
5.013 -2.896 0.000
5.013 2.896 0.000
-3.364 0.000 14.988
Lu Zr Cd N
4 8 6 6
Direct
0.032 0.870 0.597
0.130 0.968 0.903
0.870 0.032 0.097
0.968 0.130 0.403
0.192 0.356 0.077
0.304 0.478 0.423
0.356 0.192 0.577
0.478 0.304 0.923
0.522 0.696 0.077
0.644 0.808 0.423
0.696 0.522 0.577
0.808 0.644 0.923
0.084 0.357 0.750
0.357 0.084 0.250
0.474 0.526 0.250
0.526 0.474 0.750
0.643 0.916 0.750
0.916 0.643 0.250
0.000 0.500 0.500
0.162 0.676 0.000
0.324 0.838 0.500
0.500 0.000 0.000
0.676 0.162 0.500
0.838 0.324 0.000
```

Properties
Symmetry = No. 15

***

(8)
# LuNb2Cd

Crystalline LuNb2Cd at its relaxed geometry (GGA-PBE, OQMD).

Structure (POSCAR):
```
LuNb2Cd
1.0
0.000 3.437 3.437
3.437 0.000 3.437
3.437 3.437 0.000
Lu Nb Cd
1 2 1
Direct
0.000 0.000 0.000
0.250 0.250 0.250
0.500 0.500 0.500
0.750 0.750 0.750
```

Properties
Symmetry = No. 216
Calculated formation energy = 196 meV/atom

***

(9)
# Lu2CdNi

Crystalline Lu2CdNi at its relaxed geometry (GGA-PBE, OQMD).

Structure (POSCAR):
```
Lu2CdNi
1.0
0.000 3.409 3.409
3.409 0.000 3.409
3.409 3.409 0.000
Lu Cd Ni
2 1 1
Direct
0.000 0.000 0.000
0.250 0.250 0.250
0.500 0.500 0.500
0.750 0.750 0.750
```

Properties
Symmetry = No. 216
Calculated formation energy = -58 meV/atom

***

(10)
# LuCdNiSb

Crystalline LuCdNiSb at its relaxed geometry (GGA-PBE, OQMD).

Structure (POSCAR):
```
LuCdNiSb
1.0
0.000 3.451 3.451
3.451 0.000 3.451
3.451 3.451 0.000
Lu Cd Ni Sb
1 1 1 1
Direct
0.000 0.000 0.000
0.750 0.750 0.750
0.500 0.500 0.500
0.250 0.250 0.250
```

Properties
Symmetry = No. 216

***

(11)
# LuCdNiSn

Crystalline LuCdNiSn at its relaxed geometry (GGA-PBE, OQMD).

Structure (POSCAR):
```
LuCdNiSn
1.0
0.000 3.409 3.409
3.409 0.000 3.409
3.409 3.409 0.000
Lu Cd Ni Sn
1 1 1 1
Direct
0.000 0.000 0.000
0.750 0.750 0.750
0.500 0.500 0.500
0.250 0.250 0.250
```

Properties
Symmetry = No. 216

***

(12)
# LuTlCdNi

Crystalline LuTlCdNi at its relaxed geometry (GGA-PBE, OQMD).

Structure (POSCAR):
```
LuTlCdNi
1.0
0.000 3.420 3.420
3.420 0.000 3.420
3.420 3.420 0.000
Lu Tl Cd Ni
1 1 1 1
Direct
0.000 0.000 0.000
0.250 0.250 0.250
0.750 0.750 0.750
0.500 0.500 0.500
```

Properties
Symmetry = No. 216

***

| no. | total energy (eV per atom) |
| --- | --- |
| 1 | -6.045 |
| 2 | -6.638 |
| 3 | -7.702 |
| 4 | -5.760 |
| 5 | -6.648 |
| 6 | -5.569 |
| 7 | -6.891 |
| 8 | -6.206 |
| 9 | -3.935 |
| 10 | -3.938 |
| 11 | -3.909 |
| 12 | -3.388 |